Li2Zn2Ag: relaxed, PBE-GGA.

a = 4.8569 Å, b = 4.8569 Å, c = 6.3293 Å
α = 47.82°, β = 47.82°, γ = 49.21°
Closest atoms and distances in Å follow each position.
Atoms (fractional coordinates):
Li 0.5943 0.0943 0.2008  6 Zn 2.72-2.87, 3 Ag 2.78-2.82, 3 Li 2.79
Li 0.4057 0.9057 0.7992  6 Zn 2.72-2.87, 3 Ag 2.78-2.82, 3 Li 2.79
Zn 0.1936 0.6936 0.4066  3 Zn 2.67-2.87, 6 Li 2.72-2.87, 3 Ag 2.75-2.78
Zn 0.8064 0.3064 0.5934  3 Zn 2.67-2.87, 6 Li 2.72-2.87, 3 Ag 2.75-2.78
Ag 0.0000 0.5000 0.0000  6 Zn 2.75-2.78, 6 Li 2.78-2.82

Computed properties:
Total magnetic moment   0.00 μB/f.u.
DFT formation energy   -0.2022 eV/atom